1.
A plane-wave DFT calculation with PBE was carried out for CuReAg2 after structural relaxation.

Cell lengths 4.240, 2.656, 5.771 Å; angles 76.61, 90.00, 90.00 degrees
Last column: magnetic moment on the atom in μB.
Positions (direct):
Ag: 0.000 0.062 0.999  0.02
Ag: 0.500 0.435 0.249  0.02
Cu: 0.000 0.298 0.537  0.08
Re: 0.500 0.706 0.715  0.58

As for the crystal system: monoclinic. As for the volume: 63.22 Å³ per cell. Its formation energy is 0.54 eV/atom. Its space group is Pm (6). The calculation puts the uncorrected energy at -20.08 eV/f.u. Its spin magnetization is 0.759 μB per cell.

=====

2.
A plane-wave DFT calculation with PBE was carried out for CuRe2Ag after structural relaxation.

Cell lengths 9.380, 9.380, 9.380 Å; angles 16.79, 16.79, 16.79 degrees
Positions (direct):
Ag: 0.750 0.750 0.750
Cu: 0.250 0.250 0.250
Re: 0.995 0.995 0.995
Re: 0.505 0.505 0.505

As for the crystal system: trigonal. As for the volume: 60.03 Å³ per cell. Its formation energy is 0.53 eV/atom. Its space group is R-3m (166). The calculation puts the uncorrected energy at -29.72 eV/f.u. Its spin magnetization is 0.001 μB per cell.

=====

3.
A plane-wave DFT calculation with PBE was carried out for CuReAg2 after structural relaxation.

Cell lengths 7.192, 7.192, 5.730 Å; angles 51.12, 51.12, 90.00 degrees
Last column: magnetic moment on the atom in μB.
Positions (direct):
Re: 0.000 0.000 0.000  1.22
Re: 0.750 0.250 0.500  1.22
Cu: 0.500 0.500 0.000  0.09
Cu: 0.250 0.750 0.500  0.10
Ag: 0.605 0.125 0.250  0.03
Ag: 0.145 0.625 0.250  0.02
Ag: 0.375 0.395 0.750  0.03
Ag: 0.875 0.855 0.750  0.03

As for the crystal system: tetragonal. As for the volume: 136.52 Å³ per cell. Its formation energy is 1.20 eV/atom. Its space group is I-42d (122). The calculation puts the uncorrected energy at -17.46 eV/f.u. Its spin magnetization is 2.991 μB per cell.

=====

4.
A plane-wave DFT calculation with PBE was carried out for CuReAg after structural relaxation.

Cell lengths 6.588, 6.588, 6.588 Å; angles 156.71, 156.71, 33.17 degrees
Positions (direct):
Ag: 0.995 0.995 0.000
Cu: 0.329 0.329 0.000
Re: 0.677 0.677 0.000

As for the crystal system: tetragonal. As for the volume: 44.66 Å³ per cell. Its formation energy is 0.45 eV/atom. Its space group is I4mm (107). The calculation puts the uncorrected energy at -18.06 eV/f.u. Its spin magnetization is 0.000 μB per cell.

=====

5.
A plane-wave DFT calculation with PBE was carried out for CuRe2Ag after structural relaxation.

Cell lengths 2.978, 2.978, 7.010 Å; angles 90.00, 90.00, 90.00 degrees
Positions (direct):
Ag: 0.000 0.000 0.520
Cu: 0.500 0.500 0.759
Re: 0.000 0.000 0.008
Re: 0.500 0.500 0.213

As for the crystal system: tetragonal. As for the volume: 62.17 Å³ per cell. Its formation energy is 0.37 eV/atom. Its space group is P4mm (99). The calculation puts the uncorrected energy at -30.37 eV/f.u. Its spin magnetization is 0.000 μB per cell.

=====

6.
A plane-wave DFT calculation with PBE was carried out for CuReAg2 after structural relaxation.

Cell lengths 5.563, 5.563, 2.612 Å; angles 78.51, 78.51, 121.11 degrees
Positions (direct):
Ag: 0.000 0.000 0.000
Ag: 0.500 0.500 0.000
Cu: 0.500 0.000 0.500
Re: 0.000 0.500 0.500

As for the crystal system: monoclinic. As for the volume: 63.26 Å³ per cell. Its formation energy is 0.60 eV/atom. Its space group is C2/m (12). The calculation puts the uncorrected energy at -19.83 eV/f.u. Its spin magnetization is 0.001 μB per cell.

=====

7.
A plane-wave DFT calculation with PBE was carried out for CuRe2Ag after structural relaxation.

Cell lengths 3.200, 3.200, 5.974 Å; angles 90.00, 90.00, 90.00 degrees
Positions (direct):
Ag: 0.500 0.500 0.250
Cu: 0.500 0.500 0.750
Re: 0.000 0.000 0.950
Re: 0.000 0.000 0.550

As for the crystal system: tetragonal. As for the volume: 61.16 Å³ per cell. Its formation energy is 0.76 eV/atom. Its space group is P4/mmm (123). The calculation puts the uncorrected energy at -28.80 eV/f.u. Its spin magnetization is 0.000 μB per cell.

=====

8.
A plane-wave DFT calculation with PBE was carried out for CuReAg4 after structural relaxation.

Cell lengths 5.341, 5.341, 5.341 Å; angles 60.00, 60.00, 60.00 degrees
Last column: magnetic moment on the atom in μB.
Positions (direct):
Cu: 0.750 0.750 0.750  0.07
Re: 0.000 0.000 0.000  2.53
Ag: 0.875 0.375 0.375  0.02
Ag: 0.375 0.375 0.875  0.02
Ag: 0.375 0.875 0.375  0.02
Ag: 0.375 0.375 0.375  0.02

As for the crystal system: cubic. As for the volume: 107.75 Å³ per cell. Its formation energy is 0.91 eV/atom. Its space group is F-43m (216). The calculation puts the uncorrected energy at -22.48 eV/f.u. Its spin magnetization is 2.932 μB per cell.

=====

9.
A plane-wave DFT calculation with PBE was carried out for CuReAg2 after structural relaxation.

Cell lengths 2.672, 4.816, 4.941 Å; angles 90.00, 90.00, 90.00 degrees
Last column: magnetic moment on the atom in μB.
Positions (direct):
Ag: 0.000 0.000 0.000  0.00
Ag: 0.500 0.500 0.000  0.01
Cu: 0.500 0.000 0.500  0.03
Re: 0.000 0.500 0.500  0.52

As for the crystal system: orthorhombic. As for the volume: 63.57 Å³ per cell. Its formation energy is 0.60 eV/atom. Its space group is Pmmm (47). The calculation puts the uncorrected energy at -19.84 eV/f.u. Its spin magnetization is 0.615 μB per cell.

=====

10.
A plane-wave DFT calculation with PBE was carried out for CuRe2Ag after structural relaxation.

Cell lengths 4.810, 2.724, 4.675 Å; angles 87.85, 90.00, 90.00 degrees
Positions (direct):
Ag: 0.500 0.250 0.250
Cu: 0.500 0.750 0.750
Re: 0.000 0.948 0.994
Re: 0.000 0.552 0.506

As for the crystal system: monoclinic. As for the volume: 61.20 Å³ per cell. Its formation energy is 0.57 eV/atom. Its space group is P2/m (10). The calculation puts the uncorrected energy at -29.57 eV/f.u. Its spin magnetization is 0.000 μB per cell.

=====

11.
A plane-wave DFT calculation with PBE was carried out for CuRe3Ag after structural relaxation.

Cell lengths 4.462, 4.462, 4.462 Å; angles 90.00, 90.00, 90.00 degrees
Positions (direct):
Re: 0.000 0.500 0.000
Re: 0.000 0.000 0.500
Re: 0.500 0.000 0.000
Cu: 0.000 0.000 0.000
Ag: 0.500 0.500 0.500

As for the crystal system: cubic. As for the volume: 88.86 Å³ per cell. Its formation energy is 2.11 eV/atom. Its space group is Pm-3m (221). The calculation puts the uncorrected energy at -33.76 eV/f.u. Its spin magnetization is 0.000 μB per cell.

=====

12.
A plane-wave DFT calculation with PBE was carried out for CuReAg2 after structural relaxation.

Cell lengths 9.427, 9.427, 9.427 Å; angles 17.01, 17.01, 17.01 degrees
Last column: magnetic moment on the atom in μB.
Positions (direct):
Ag: 0.997 0.997 0.997  0.01
Ag: 0.503 0.503 0.503  0.01
Cu: 0.250 0.250 0.250  -0.01
Re: 0.750 0.750 0.750  0.26

As for the crystal system: trigonal. As for the volume: 62.51 Å³ per cell. Its formation energy is 0.45 eV/atom. Its space group is R-3m (166). The calculation puts the uncorrected energy at -20.45 eV/f.u. Its spin magnetization is 0.284 μB per cell.

=====

13.
A plane-wave DFT calculation with PBE was carried out for CuReAg2 after structural relaxation.

Cell lengths 9.474, 9.474, 9.474 Å; angles 16.91, 16.91, 16.91 degrees
Positions (direct):
Ag: 0.002 0.002 0.002
Ag: 0.245 0.245 0.245
Cu: 0.497 0.497 0.497
Re: 0.756 0.756 0.756

As for the crystal system: trigonal. As for the volume: 62.76 Å³ per cell. Its formation energy is 0.36 eV/atom. Its space group is R3m (160). The calculation puts the uncorrected energy at -20.81 eV/f.u. Its spin magnetization is 0.030 μB per cell.

=====

14.
A plane-wave DFT calculation with PBE was carried out for CuRe3Ag after structural relaxation.

Cell lengths 4.743, 4.743, 4.743 Å; angles 90.00, 90.00, 90.00 degrees
Last column: magnetic moment on the atom in μB.
Positions (direct):
Re: 0.000 0.500 0.000  0.37
Re: 0.000 0.000 0.500  0.62
Re: 0.500 0.000 0.000  0.52
Cu: 0.500 0.500 0.500  0.07
Ag: 0.000 0.000 0.000  0.05

As for the crystal system: cubic. As for the volume: 106.69 Å³ per cell. Its formation energy is 3.31 eV/atom. Its space group is Pm-3m (221). The calculation puts the uncorrected energy at -27.74 eV/f.u. Its spin magnetization is 1.765 μB per cell.

=====

15.
A plane-wave DFT calculation with PBE was carried out for CuReAg after structural relaxation.

Cell lengths 4.493, 4.493, 2.562 Å; angles 90.00, 90.00, 120.00 degrees
Positions (direct):
Ag: 0.000 0.000 0.166
Cu: 0.333 0.667 0.168
Re: 0.667 0.333 0.666

As for the crystal system: hexagonal. As for the volume: 44.80 Å³ per cell. Its formation energy is 0.71 eV/atom. Its space group is P-6m2 (187). The calculation puts the uncorrected energy at -17.26 eV/f.u. Its spin magnetization is 0.000 μB per cell.

=====

16.
A plane-wave DFT calculation with PBE was carried out for CuReAg2 after structural relaxation.

Cell lengths 4.358, 3.799, 3.799 Å; angles 90.00, 90.00, 90.00 degrees
Last column: magnetic moment on the atom in μB.
Positions (direct):
Ag: 0.000 0.000 0.000  0.04
Ag: 0.000 0.500 0.500  0.04
Cu: 0.500 0.500 0.000  0.08
Re: 0.500 0.000 0.500  0.53

As for the crystal system: tetragonal. As for the volume: 62.90 Å³ per cell. Its formation energy is 0.86 eV/atom. Its space group is P4/mmm (123). The calculation puts the uncorrected energy at -18.80 eV/f.u. Its spin magnetization is 0.757 μB per cell.

=====

17.
A plane-wave DFT calculation with PBE was carried out for Ta2CuReAg after structural relaxation.

Cell lengths 4.814, 4.754, 4.814 Å; angles 90.00, 90.00, 90.00 degrees
Positions (direct):
Re: 0.000 0.000 0.000
Cu: 0.000 0.500 0.000
Ag: 0.500 0.500 0.500
Ta: 0.000 0.000 0.500
Ta: 0.500 0.000 0.000

As for the crystal system: tetragonal. As for the volume: 110.18 Å³ per cell. Its formation energy is 1.34 eV/atom. Its space group is P4/mmm (123). The calculation puts the uncorrected energy at -36.40 eV/f.u. Its spin magnetization is 0.000 μB per cell.

=====

18.
A plane-wave DFT calculation with PBE was carried out for Cu2AgRh after structural relaxation.

Cell lengths 2.676, 2.676, 8.906 Å; angles 90.00, 90.00, 115.89 degrees
Last column: magnetic moment on the atom in μB.
Positions (direct):
Ag: 0.500 0.500 0.750  0.00
Cu: 0.000 0.000 0.008  0.01
Cu: 0.000 0.000 0.492  0.01
Rh: 0.500 0.500 0.250  0.40

As for the crystal system: orthorhombic. As for the volume: 57.36 Å³ per cell. Its formation energy is 0.17 eV/atom. Its space group is Cmmm (65). The calculation puts the uncorrected energy at -17.71 eV/f.u. Its spin magnetization is 0.428 μB per cell.

=====

19.
A plane-wave DFT calculation with PBE was carried out for Cu2AgRh after structural relaxation.

Cell lengths 4.296, 4.296, 4.296 Å; angles 60.00, 60.00, 60.00 degrees
Positions (direct):
Rh: 0.000 0.000 0.000
Cu: 0.250 0.250 0.250
Cu: 0.750 0.750 0.750
Ag: 0.500 0.500 0.500

As for the crystal system: cubic. As for the volume: 56.08 Å³ per cell. Its formation energy is 0.13 eV/atom. Its space group is Fm-3m (225). The calculation puts the uncorrected energy at -17.89 eV/f.u. Its spin magnetization is 0.000 μB per cell.

=====

20.
A plane-wave DFT calculation with PBE was carried out for Cu2AgRh after structural relaxation.

Cell lengths 4.325, 4.325, 4.325 Å; angles 60.00, 60.00, 60.00 degrees
Positions (direct):
Ag: 0.500 0.500 0.500
Cu: 0.000 0.000 0.000
Cu: 0.250 0.250 0.250
Rh: 0.750 0.750 0.750

As for the crystal system: cubic. As for the volume: 57.22 Å³ per cell. Its formation energy is 0.22 eV/atom. Its space group is F-43m (216). The calculation puts the uncorrected energy at -17.51 eV/f.u. Its spin magnetization is 0.000 μB per cell.